# 1
Computed, not measured: crystalline Pu2Pa2Si at its relaxed geometry at the PBE-GGA level of DFT.

Values from the calculation:
Uncorrected formation energy (eV per atom): 0.081
Symmetry: P6_3/mmc (194)
ρ (g cm⁻³): 13.45
Calculated total energy (eV/atom): -10.53

abc: 4.959 4.959 11.342
angles: 90.00 90.00 120.00
Atoms (fractional coordinates):
Pu (0.333, 0.667, 0.604)
Pu (0.667, 0.333, 0.104)
Pu (0.667, 0.333, 0.396)
Pu (0.333, 0.667, 0.896)
Pa (0.667, 0.333, 0.750)
Pa (0.000, 0.000, 0.000)
Pa (0.000, 0.000, 0.500)
Pa (0.333, 0.667, 0.250)
Si (0.000, 0.000, 0.750)
Si (0.000, 0.000, 0.250)


# 2
Computed, not measured: crystalline PuUPaSi at its relaxed geometry at the PBE-GGA level of DFT.

Values from the calculation:
Uncorrected formation energy (eV per atom): -0.034
Symmetry: F-43m (216)
ρ (g cm⁻³): 15.51
Calculated total energy (eV/atom): -10.17

abc: 4.824 4.824 4.824
angles: 60.00 60.00 60.00
Atoms (fractional coordinates):
U (0.000, 0.000, 0.000)
Pa (0.750, 0.750, 0.750)
Pu (0.250, 0.250, 0.250)
Si (0.500, 0.500, 0.500)


# 3
Computed, not measured: crystalline Pu2Pa2ZnSi4 at its relaxed geometry at the PBE-GGA level of DFT.

Values from the calculation:
Uncorrected formation energy (eV per atom): -0.013
Symmetry: I4/mmm (139)
ρ (g cm⁻³): 9.98
Calculated total energy (eV/atom): -7.86

abc: 6.321 6.321 6.321
angles: 96.84 116.13 116.13
Atoms (fractional coordinates):
Pa (0.500, 0.250, 0.750)
Pa (0.500, 0.750, 0.250)
Si (0.511, 0.756, 0.756)
Si (0.489, 0.244, 0.244)
Si (0.000, 0.756, 0.244)
Si (0.000, 0.244, 0.756)
Pu (0.000, 0.678, 0.678)
Pu (0.000, 0.322, 0.322)
Zn (0.000, 0.000, 0.000)


# 4
Computed, not measured: crystalline PuPa2Zn2Si2 at its relaxed geometry at the PBE-GGA level of DFT.

Values from the calculation:
Uncorrected formation energy (eV per atom): -0.140
Symmetry: R-3m (166)
ρ (g cm⁻³): 10.85
Calculated total energy (eV/atom): -6.81

abc: 4.280 4.280 8.959
angles: 76.18 76.18 60.00
Atoms (fractional coordinates):
Zn (0.402, 0.402, 0.795)
Zn (0.598, 0.598, 0.205)
Pa (0.139, 0.139, 0.582)
Pa (0.861, 0.861, 0.418)
Si (0.736, 0.736, 0.791)
Si (0.264, 0.264, 0.209)
Pu (0.000, 0.000, 0.000)